# 1
The following is a DFT calculation (PBE) of a relaxed CeRu2C crystal.

Cell lengths 4.688, 4.688, 3.175 Å; angles 90.00, 90.00, 115.28 degrees
Fractional coordinates of all 4 atoms:
Ce (0.000, 0.000, 0.000)
Ru (0.337, 0.663, 0.500)
Ru (0.663, 0.337, 0.500)
C (0.500, 0.500, 0.000)

Computed properties:
Total moment (μB/atom): 0.000
E above lowest polymorph (meV/atom): 0
Raw total energy (eV/cell): -33.6
ΔH_f (0 K) (eV/f.u.): 0.1

# 2
The following is a DFT calculation (PBE) of a relaxed CeRuC2 crystal.

Cell lengths 5.581, 5.581, 5.581 Å; angles 35.01, 35.01, 35.01 degrees
Fractional coordinates of all 4 atoms:
Ce (0.000, 0.000, 0.000)
Ru (0.500, 0.500, 0.500)
C (0.232, 0.232, 0.232)
C (0.768, 0.768, 0.768)

Computed properties:
Total moment (μB/atom): 0.000
Raw total energy (eV/cell): -32.8
ΔH_f (0 K) (eV/f.u.): 0.8

# 3
The following is a DFT calculation (PBE) of a relaxed Ce2Ru6C crystal.

Cell lengths 5.814, 5.814, 5.814 Å; angles 60.00, 60.00, 60.00 degrees
Fractional coordinates of all 9 atoms:
Ce (0.250, 0.250, 0.250)
Ce (0.750, 0.750, 0.750)
Ru (0.246, 0.246, 0.754)
Ru (0.246, 0.754, 0.246)
Ru (0.246, 0.754, 0.754)
Ru (0.754, 0.246, 0.246)
Ru (0.754, 0.246, 0.754)
Ru (0.754, 0.754, 0.246)
C (0.500, 0.500, 0.500)

Computed properties:
Total moment (μB/atom): 0.000
Raw total energy (eV/cell): -78.6
ΔH_f (0 K) (eV/f.u.): -1.9

# 4
The following is a DFT calculation (PBE) of a relaxed Ce2Ru2C3 crystal.

Cell lengths 6.116, 6.116, 5.585 Å; angles 113.31, 113.31, 32.75 degrees
Fractional coordinates of all 7 atoms:
Ce (0.104, 0.104, 0.307)
Ce (0.896, 0.896, 0.693)
Ru (0.340, 0.340, 0.177)
Ru (0.660, 0.660, 0.823)
C (0.244, 0.244, 0.768)
C (0.500, 0.500, 0.500)
C (0.756, 0.756, 0.232)

Computed properties:
Total moment (μB/atom): 0.000
Raw total energy (eV/cell): -59.4
ΔH_f (0 K) (eV/f.u.): -1.3

# 5
The following is a DFT calculation (PBE) of a relaxed Ce2RuC2 crystal.

Cell lengths 6.483, 5.244, 9.855 Å; angles 90.00, 90.00, 90.00 degrees
Fractional coordinates of all 20 atoms:
Ce (0.016, 0.250, 0.220)
Ce (0.191, 0.250, 0.546)
Ce (0.309, 0.750, 0.046)
Ce (0.484, 0.750, 0.720)
Ce (0.516, 0.250, 0.280)
Ce (0.691, 0.250, 0.954)
Ce (0.809, 0.750, 0.454)
Ce (0.984, 0.750, 0.780)
Ru (0.224, 0.250, 0.864)
Ru (0.276, 0.750, 0.364)
Ru (0.724, 0.250, 0.636)
Ru (0.776, 0.750, 0.136)
C (0.035, 0.750, 0.246)
C (0.167, 0.750, 0.558)
C (0.333, 0.250, 0.058)
C (0.465, 0.250, 0.746)
C (0.535, 0.750, 0.254)
C (0.667, 0.750, 0.942)
C (0.833, 0.250, 0.442)
C (0.965, 0.250, 0.754)

Computed properties:
Total moment (μB/atom): 0.000
Raw total energy (eV/cell): -163.4
ΔH_f (0 K) (eV/f.u.): -1.3

# 6
The following is a DFT calculation (PBE) of a relaxed Ce8Ru2C crystal.

Cell lengths 8.784, 8.784, 8.362 Å; angles 96.72, 96.72, 23.60 degrees
Fractional coordinates of all 11 atoms:
Ce (0.018, 0.018, 0.210)
Ce (0.213, 0.213, 0.344)
Ce (0.352, 0.352, 0.012)
Ce (0.408, 0.408, 0.480)
Ce (0.592, 0.592, 0.520)
Ce (0.648, 0.648, 0.988)
Ce (0.787, 0.787, 0.656)
Ce (0.982, 0.982, 0.790)
Ru (0.167, 0.167, 0.735)
Ru (0.833, 0.833, 0.265)
C (0.500, 0.500, 0.000)

Computed properties:
Total moment (μB/atom): 0.146
Raw total energy (eV/cell): -77.3
ΔH_f (0 K) (eV/f.u.): -2.0

# 7
The following is a DFT calculation (PBE) of a relaxed Ce2RuC crystal.

Cell lengths 7.032, 7.032, 7.032 Å; angles 30.16, 30.16, 30.16 degrees
Fractional coordinates of all 4 atoms:
Ce (0.240, 0.240, 0.240)
Ce (0.760, 0.760, 0.760)
Ru (0.000, 0.000, 0.000)
C (0.500, 0.500, 0.500)

Computed properties:
Total moment (μB/atom): 0.000
Raw total energy (eV/cell): -30.8
ΔH_f (0 K) (eV/f.u.): -0.4

# 8
The following is a DFT calculation (PBE) of a relaxed Ce3Ru2C crystal.

Cell lengths 6.575, 6.575, 6.764 Å; angles 99.18, 99.18, 119.01 degrees
Fractional coordinates of all 12 atoms:
Ce (0.068, 0.427, 0.760)
Ce (0.207, 0.207, 0.209)
Ce (0.427, 0.068, 0.760)
Ce (0.573, 0.932, 0.240)
Ce (0.793, 0.793, 0.791)
Ce (0.932, 0.573, 0.240)
Ru (0.000, 0.000, 0.500)
Ru (0.364, 0.636, 0.500)
Ru (0.500, 0.500, 0.000)
Ru (0.636, 0.364, 0.500)
C (0.173, 0.827, 0.000)
C (0.827, 0.173, 0.000)

Computed properties:
Total moment (μB/atom): 0.000
Raw total energy (eV/cell): -93.0
ΔH_f (0 K) (eV/f.u.): -0.9